# 1
Compound: La2TbEr2Cd5
Source: the Alexandria database
Functional: PBE-GGA
Structure: relaxed

Summary:
- ρ: 8.06 g/cm³

abc: 10.7290 10.7290 4.7745
angles: 90.00 90.00 90.00
Space group P4/mbm (No. 127)
Asymmetric unit:
1 La 0.1757 0.3243 0.0000 (multiplicity 4)
2 Tb 0.0000 0.0000 0.0000 (multiplicity 2)
3 Er 0.1225 0.6225 0.0000 (multiplicity 4)
4 Cd 0.0000 0.5000 0.5000 (multiplicity 2)
5 Cd 0.0673 0.8040 0.5000 (multiplicity 8)

# 2
Compound: La2Tb2ErCd5
Source: the Alexandria database
Functional: PBE-GGA
Structure: relaxed

Summary:
- ρ: 7.98 g/cm³

abc: 10.7256 10.7256 4.7927
angles: 90.00 90.00 90.00
Space group P4/mbm (No. 127)
Asymmetric unit:
1 La 0.1753 0.3247 0.0000 (multiplicity 4)
2 Tb 0.1242 0.6242 0.0000 (multiplicity 4)
3 Er 0.0000 0.0000 0.0000 (multiplicity 2)
4 Cd 0.0000 0.5000 0.5000 (multiplicity 2)
5 Cd 0.0659 0.8069 0.5000 (multiplicity 8)

# 3
Compound: LaErThCd
Source: the Alexandria database
Functional: PBE-GGA
Structure: relaxed

Summary:
- Energy above the lowest structure with this stoichiometry: 18.8 kJ/mol of atoms
- ρ: 8.85 g/cm³

abc: 7.8739 7.8739 7.8739
angles: 90.00 90.00 90.00
Space group F-43m (No. 216)
Asymmetric unit:
1 La 0.0000 0.0000 0.0000 (multiplicity 4)
2 Er 0.2500 0.2500 0.2500 (multiplicity 4)
3 Th 0.0000 0.0000 0.5000 (multiplicity 4)
4 Cd 0.2500 0.2500 0.7500 (multiplicity 4)

The calculation returns the following total magnetization values, one per record and in order: 0.0; 0.2; 0.0 Bohr magnetons per cell.
The calculation returns the following formation energy from the elements values, one per record and in order: -0.212; -0.206; 0.027 eV per atom.